(1)
# MgMn2NbO6

MgMn2NbO6 after structural relaxation (PBE with a Hubbard U, Alexandria via LeMat-Bulk).

For the raw total energy, the calculation gives -7.801 eV/atom.

The space group is P1 (No. 1) and the conventional cell measures 5.227, 5.283 and 5.548 Å, with angles of 62.80, 89.63 and 61.72 degrees. The asymmetric unit holds Mg at (0.000, 0.000, 0.000), Mn at (0.225, 0.548, 0.658), Mn at (0.718, 0.581, 0.108), Nb at (0.503, 0.994, 0.498), O at (0.152, 0.063, 0.308), O at (0.303, 0.072, 0.791), O at (0.457, 0.431, 0.319), O at (0.630, 0.482, 0.824), O at (0.794, 0.779, 0.316) and O at (0.898, 0.785, 0.826).

---

(2)
# MgMnNb2O8

MgMnNb2O8 after structural relaxation (PBE with a Hubbard U, Alexandria via LeMat-Bulk).

For the raw total energy, the calculation gives -7.871 eV/atom.

The space group is P-3m1 (No. 164) and the conventional cell measures 5.8583, 5.8583 and 5.4728 Å, with angles of 90.00, 90.00 and 120.00 degrees. The asymmetric unit holds Mg at (0.0000, 0.0000, 0.0000), Mn at (0.0000, 0.0000, 0.5000), Nb at (0.3333, 0.6667, 0.2101), O at (0.1471, 0.2942, 0.2796) and O at (0.3333, 0.6667, 0.8880).

---

> Which of these has the lowest raw total energy?

MgMnNb2O8